1.
A geometry-optimized Cu4PtRh structure. Source: Alexandria via LeMat-Bulk, functional GGA-PBE.

Output
Space-group type ... Cmcm (63)
VASP energy ... -4.95 eV/atom

Cell lengths 6.307, 6.307, 4.151 Å; angles 90.00, 90.00, 104.34 degrees
Sites, in units of the cell vectors:
Cu  0.096  0.232  0.250
Cu  0.156  0.515  0.750
Cu  0.232  0.096  0.750
Cu  0.485  0.844  0.750
Cu  0.515  0.156  0.250
Cu  0.768  0.904  0.250
Cu  0.844  0.485  0.250
Cu  0.904  0.768  0.750
Pt  0.173  0.827  0.250
Pt  0.827  0.173  0.750
Rh  0.434  0.566  0.250
Rh  0.566  0.434  0.750

=====

2.
A geometry-optimized CuPt5Rh4 structure. Source: Alexandria via LeMat-Bulk, functional GGA-PBE.

Output
Space-group type ... P4/mmm (123)
VASP energy ... -6.42 eV/atom

Cell lengths 2.766, 2.766, 19.287 Å; angles 90.00, 90.00, 90.00 degrees
Sites, in units of the cell vectors:
Cu  0.000  0.000  0.000
Pt  0.500  0.500  0.096
Pt  0.500  0.500  0.297
Pt  0.500  0.500  0.500
Pt  0.500  0.500  0.703
Pt  0.500  0.500  0.904
Rh  0.000  0.000  0.197
Rh  0.000  0.000  0.398
Rh  0.000  0.000  0.602
Rh  0.000  0.000  0.803

=====

Let's list DOS at the Fermi energy in order: 10.74; 16.97 states/eV/cell.